Compound: SnB2TeP
Source: the Alexandria database
Functional: PBEsol
Structure: relaxed

Summary:
formation energy without anion corrections	1.81	eV/atom
SG	No. 123

Structure (POSCAR):
```
SnB2TeP
1.0
4.363 0.000 0.000
0.000 4.363 0.000
0.000 0.000 5.817
Sn B Te P
1 2 1 1
Cartesian
0.000 0.000 0.000
0.000 2.182 0.000
2.182 0.000 0.000
0.000 0.000 2.908
2.182 2.182 2.908
```